No. 1
This record from the Alexandria database describes a relaxed MnCuNiOs2 crystal. The functional is PBE-GGA.

The structure in POSCAR format:
```
MnCuNiOs2
1.0
4.386 0.000 0.000
0.000 4.386 0.000
0.000 0.000 4.263
Mn Cu Ni Os
1 1 1 2
direct
0.000 0.000 0.000
0.500 0.500 0.500
0.000 0.000 0.500
0.000 0.500 0.000
0.500 0.000 0.000
```

Properties
Energy relative to the elements, meV per atom: 1610
Crystal system: tetragonal

No. 2
This record from the Alexandria database describes a relaxed Pa2MnCu3Ni12 crystal. The functional is PBE-GGA.

The structure in POSCAR format:
```
Pa2MnCu3Ni12
1.0
3.125 1.804 7.753
-3.125 1.804 7.753
0.000 -3.608 7.753
Pa Mn Cu Ni
2 1 3 12
direct
0.138 0.138 0.138
0.862 0.862 0.862
0.500 0.500 0.500
0.000 0.500 0.500
0.500 0.000 0.500
0.500 0.500 0.000
0.062 0.633 0.633
0.080 0.080 0.698
0.080 0.698 0.080
0.302 0.920 0.920
0.367 0.367 0.938
0.367 0.938 0.367
0.633 0.062 0.633
0.633 0.633 0.062
0.698 0.080 0.080
0.920 0.302 0.920
0.920 0.920 0.302
0.938 0.367 0.367
```

Properties
Energy relative to the elements, meV per atom: 150
Crystal system: trigonal